# 1
Compound: SrIn2BiPd
Source: Alexandria via LeMat-Bulk
Functional: PBE-GGA
Structure: optimized geometry Values from VASP.

- theoretical density (g/cm3) = 6.76
- E_form (eV/atom) = -0.320
- polymorph energy (0 for the lowest one) (eV/f.u.) = 0.31
- space group = No. 123
- calculated total energy (eV for the cell shown) = -17.83

Structure (Quantum ESPRESSO input):
```
&SYSTEM
  ibrav = 0, nat = 5, ntyp = 4
/
ATOMIC_SPECIES
Sr 87.62 Sr.upf
In 114.82 In.upf
Bi 208.98 Bi.upf
Pd 106.42 Pd.upf
CELL_PARAMETERS angstrom
5.193 0.000 0.000
0.000 5.193 0.000
0.000 0.000 5.762
ATOMIC_POSITIONS crystal
Sr 0.000 0.000 0.000
In 0.000 0.500 0.500
In 0.500 0.000 0.500
Bi 0.500 0.500 0.000
Pd 0.500 0.500 0.500
```

# 2
Compound: Ca2Dy2Bi2S
Source: Alexandria via LeMat-Bulk
Functional: PBE-GGA
Structure: optimized geometry Values from VASP.

- theoretical density (g/cm3) = 6.45
- space group = No. 139
- calculated total energy (eV for the cell shown) = -64.60
- ΔE_f (raw) (kJ/mol of atoms) = -99.3

Structure (Quantum ESPRESSO input):
```
&SYSTEM
  ibrav = 0, nat = 14, ntyp = 4
/
ATOMIC_SPECIES
Ca 40.08 Ca.upf
Dy 162.50 Dy.upf
Bi 208.98 Bi.upf
S 32.06 S.upf
CELL_PARAMETERS angstrom
5.175 0.000 0.000
0.000 5.175 0.000
0.000 0.000 16.442
ATOMIC_POSITIONS crystal
Ca 0.000 0.000 0.171
Ca 0.000 0.000 0.829
Ca 0.500 0.500 0.329
Ca 0.500 0.500 0.671
Dy 0.000 0.500 0.000
Dy 0.000 0.500 0.500
Dy 0.500 0.000 0.000
Dy 0.500 0.000 0.500
Bi 0.000 0.000 0.367
Bi 0.000 0.000 0.633
Bi 0.500 0.500 0.133
Bi 0.500 0.500 0.867
S 0.000 0.000 0.000
S 0.500 0.500 0.500
```

# 3
Compound: CdTe
Source: Alexandria via LeMat-Bulk
Functional: PBE-GGA
Structure: optimized geometry Values from VASP.

- theoretical density (g/cm3) = 6.62
- space group = No. 123
- calculated total energy (eV for the cell shown) = -4.01
- ΔE_f (raw) (kJ/mol of atoms) = 2.2

Structure (Quantum ESPRESSO input):
```
&SYSTEM
  ibrav = 0, nat = 2, ntyp = 2
/
ATOMIC_SPECIES
Cd 112.41 Cd.upf
Te 127.60 Te.upf
CELL_PARAMETERS angstrom
3.078 0.000 0.000
0.000 3.078 0.000
0.000 0.000 6.357
ATOMIC_POSITIONS crystal
Cd 0.000 0.000 0.000
Te 0.000 0.000 0.500
```

# 4
Compound: CeErPd2
Source: Alexandria via LeMat-Bulk
Functional: PBE-GGA
Structure: optimized geometry Values from VASP.

- theoretical density (g/cm3) = 8.90
- E_form (eV/atom) = -0.682
- polymorph energy (0 for the lowest one) (eV/f.u.) = 0.52
- space group = No. 166
- calculated total energy (eV for the cell shown) = -70.83

Structure (Quantum ESPRESSO input):
```
&SYSTEM
  ibrav = 0, nat = 12, ntyp = 3
/
ATOMIC_SPECIES
Ce 140.12 Ce.upf
Er 167.26 Er.upf
Pd 106.42 Pd.upf
CELL_PARAMETERS angstrom
4.079 0.000 0.000
-2.040 3.533 0.000
0.000 0.000 20.201
ATOMIC_POSITIONS crystal
Ce 0.000 0.000 0.000
Ce 0.333 0.667 0.667
Ce 0.667 0.333 0.333
Er 0.000 0.000 0.500
Er 0.333 0.667 0.167
Er 0.667 0.333 0.833
Pd 0.000 0.000 0.249
Pd 0.000 0.000 0.751
Pd 0.333 0.667 0.418
Pd 0.333 0.667 0.915
Pd 0.667 0.333 0.085
Pd 0.667 0.333 0.582
```

# 5
Compound: VZn2Ni2
Source: Alexandria via LeMat-Bulk
Functional: PBE-GGA
Structure: optimized geometry Values from VASP.

- theoretical density (g/cm3) = 7.78
- E_form (eV/atom) = -0.014
- polymorph energy (0 for the lowest one) (eV/f.u.) = 0.00
- space group = No. 127
- calculated total energy (eV for the cell shown) = -46.60

Structure (Quantum ESPRESSO input):
```
&SYSTEM
  ibrav = 0, nat = 10, ntyp = 3
/
ATOMIC_SPECIES
V 50.94 V.upf
Zn 65.41 Zn.upf
Ni 58.69 Ni.upf
CELL_PARAMETERS angstrom
7.000 0.000 0.000
0.000 7.000 0.000
0.000 0.000 2.605
ATOMIC_POSITIONS crystal
V 0.000 0.000 0.000
V 0.500 0.500 0.000
Zn 0.126 0.374 0.000
Zn 0.374 0.874 0.000
Zn 0.626 0.126 0.000
Zn 0.874 0.626 0.000
Ni 0.173 0.673 0.500
Ni 0.327 0.173 0.500
Ni 0.673 0.827 0.500
Ni 0.827 0.327 0.500
```

# 6
Compound: Al3Se
Source: Alexandria via LeMat-Bulk
Functional: PBE-GGA
Structure: optimized geometry Values from VASP.

- theoretical density (g/cm3) = 3.49
- space group = No. 223
- calculated total energy (eV for the cell shown) = -28.01
- ΔE_f (raw) (kJ/mol of atoms) = 17.1

Structure (Quantum ESPRESSO input):
```
&SYSTEM
  ibrav = 0, nat = 8, ntyp = 2
/
ATOMIC_SPECIES
Al 26.98 Al.upf
Se 78.96 Se.upf
CELL_PARAMETERS angstrom
5.337 0.000 0.000
0.000 5.337 0.000
0.000 0.000 5.337
ATOMIC_POSITIONS crystal
Al 0.000 0.250 0.500
Al 0.000 0.750 0.500
Al 0.250 0.500 0.000
Al 0.500 0.000 0.250
Al 0.500 0.000 0.750
Al 0.750 0.500 0.000
Se 0.000 0.000 0.000
Se 0.500 0.500 0.500
```

# 7
Compound: Rh2WAu
Source: Alexandria via LeMat-Bulk
Functional: PBE-GGA
Structure: optimized geometry Values from VASP.

- theoretical density (g/cm3) = 14.02
- E_form (eV/atom) = 0.374
- polymorph energy (0 for the lowest one) (eV/f.u.) = 1.89
- space group = No. 122
- calculated total energy (eV for the cell shown) = -117.75

Structure (Quantum ESPRESSO input):
```
&SYSTEM
  ibrav = 0, nat = 16, ntyp = 3
/
ATOMIC_SPECIES
Rh 102.91 Rh.upf
W 183.84 W.upf
Au 196.97 Au.upf
CELL_PARAMETERS angstrom
7.073 0.000 0.000
0.000 7.073 0.000
0.000 0.000 5.555
ATOMIC_POSITIONS crystal
Rh 0.213 0.250 0.125
Rh 0.250 0.713 0.375
Rh 0.250 0.787 0.875
Rh 0.287 0.250 0.625
Rh 0.713 0.750 0.625
Rh 0.750 0.213 0.875
Rh 0.750 0.287 0.375
Rh 0.787 0.750 0.125
W 0.000 0.000 0.000
W 0.000 0.500 0.250
W 0.500 0.000 0.750
W 0.500 0.500 0.500
Au 0.000 0.000 0.500
Au 0.000 0.500 0.750
Au 0.500 0.000 0.250
Au 0.500 0.500 0.000
```

# 8
Compound: BaCe2Hg
Source: Alexandria via LeMat-Bulk
Functional: PBE-GGA
Structure: optimized geometry Values from VASP.

- theoretical density (g/cm3) = 7.53
- E_form (eV/atom) = 0.217
- space group = No. 166
- calculated total energy (eV for the cell shown) = -39.67

Structure (Quantum ESPRESSO input):
```
&SYSTEM
  ibrav = 0, nat = 12, ntyp = 3
/
ATOMIC_SPECIES
Ba 137.33 Ba.upf
Ce 140.12 Ce.upf
Hg 200.59 Hg.upf
CELL_PARAMETERS angstrom
3.582 0.000 0.000
-1.791 3.102 0.000
0.000 0.000 36.782
ATOMIC_POSITIONS crystal
Ba 0.000 0.000 0.000
Ba 0.333 0.667 0.667
Ba 0.667 0.333 0.333
Ce 0.000 0.000 0.098
Ce 0.000 0.000 0.902
Ce 0.333 0.667 0.569
Ce 0.333 0.667 0.764
Ce 0.667 0.333 0.236
Ce 0.667 0.333 0.431
Hg 0.000 0.000 0.500
Hg 0.333 0.667 0.167
Hg 0.667 0.333 0.833
```

# 9
Compound: CeErInRu
Source: Alexandria via LeMat-Bulk
Functional: PBE-GGA
Structure: optimized geometry Values from VASP.

- theoretical density (g/cm3) = 9.24
- E_form (eV/atom) = -0.445
- polymorph energy (0 for the lowest one) (eV/f.u.) = 0.00
- space group = No. 99
- calculated total energy (eV for the cell shown) = -24.29

Structure (Quantum ESPRESSO input):
```
&SYSTEM
  ibrav = 0, nat = 4, ntyp = 4
/
ATOMIC_SPECIES
Ce 140.12 Ce.upf
Er 167.26 Er.upf
In 114.82 In.upf
Ru 101.07 Ru.upf
CELL_PARAMETERS angstrom
3.358 0.000 0.000
0.000 3.358 0.000
0.000 0.000 8.345
ATOMIC_POSITIONS crystal
Ce 0.000 0.000 0.000
Er 0.000 0.000 0.588
In 0.500 0.500 0.302
Ru 0.500 0.500 0.791
```

# 10
Compound: TaCr2Ru
Source: Alexandria via LeMat-Bulk
Functional: PBE-GGA
Structure: optimized geometry Values from VASP.

- theoretical density (g/cm3) = 11.57
- E_form (eV/atom) = 0.091
- polymorph energy (0 for the lowest one) (eV/f.u.) = 0.60
- space group = No. 225
- calculated total energy (eV for the cell shown) = -160.04

Structure (Quantum ESPRESSO input):
```
&SYSTEM
  ibrav = 0, nat = 16, ntyp = 3
/
ATOMIC_SPECIES
Ta 180.95 Ta.upf
Cr 52.00 Cr.upf
Ru 101.07 Ru.upf
CELL_PARAMETERS angstrom
6.051 0.000 0.000
0.000 6.051 0.000
0.000 0.000 6.051
ATOMIC_POSITIONS crystal
Ta 0.000 0.000 0.000
Ta 0.000 0.500 0.500
Ta 0.500 0.000 0.500
Ta 0.500 0.500 0.000
Cr 0.250 0.250 0.250
Cr 0.250 0.250 0.750
Cr 0.250 0.750 0.250
Cr 0.250 0.750 0.750
Cr 0.750 0.250 0.250
Cr 0.750 0.250 0.750
Cr 0.750 0.750 0.250
Cr 0.750 0.750 0.750
Ru 0.000 0.000 0.500
Ru 0.000 0.500 0.000
Ru 0.500 0.000 0.000
Ru 0.500 0.500 0.500
```

# 11
Compound: Ac2Pr3Ho3
Source: Alexandria via LeMat-Bulk
Functional: PBE-GGA
Structure: optimized geometry Values from VASP.

- theoretical density (g/cm3) = 7.61
- E_form (eV/atom) = 0.155
- space group = No. 63
- calculated total energy (eV for the cell shown) = -70.10

Structure (Quantum ESPRESSO input):
```
&SYSTEM
  ibrav = 0, nat = 16, ntyp = 3
/
ATOMIC_SPECIES
Ac 227.00 Ac.upf
Pr 140.91 Pr.upf
Ho 164.93 Ho.upf
CELL_PARAMETERS angstrom
1.920 -8.842 0.000
1.920 8.842 0.000
0.000 0.000 17.625
ATOMIC_POSITIONS crystal
Ac 0.248 0.752 0.608
Ac 0.248 0.752 0.892
Ac 0.752 0.248 0.108
Ac 0.752 0.248 0.392
Pr 0.093 0.907 0.041
Pr 0.093 0.907 0.459
Pr 0.113 0.887 0.750
Pr 0.887 0.113 0.250
Pr 0.907 0.093 0.541
Pr 0.907 0.093 0.959
Ho 0.090 0.910 0.250
Ho 0.458 0.542 0.119
Ho 0.458 0.542 0.381
Ho 0.542 0.458 0.619
Ho 0.542 0.458 0.881
Ho 0.910 0.090 0.750
```